BPdRh2 | GGA-PBE | relaxed

Unit cell a=2.8192 b=2.8192 c=7.6158 alpha=79.33 beta=79.33 gamma=60.00
Last column: nearest neighbours and their distance in Å.
Fractional coordinates of all 4 atoms:
B1 0.0000 0.0000 0.0000  6 Rh 2.13
Rh1 0.2715 0.2715 0.1855  3 B 2.13
Rh2 0.7285 0.7285 0.8145  3 B 2.13
Pd1 0.5000 0.5000 0.5000  6 Pd 2.82, 6 Rh 2.85

Summary:
space-group type = No. 166
D(E_F) = 5.94 states/eV/cell
formation energy = -0.132 eV/atom
total DFT energy (no corrections) = -6.78 eV per atom
calculated volume = 12.80 Å³/atom
total moment = 0.0 μB per formula unit